# 1
DFT (PBE) results for an optimized crystal structure of CaCe2Hg3.

Properties
VASP energy (eV for the cell shown): -17.05
Space group: P4/mmm (123)
Density of states at the Fermi level (states/eV/f.u.): 17.21

abc: 3.759 3.759 11.811
angles: 90.00 90.00 90.00
Fractional positions:
Ca: 0.000 0.000 0.000
Ce: 0.000 0.000 0.332
Ce: 0.000 0.000 0.668
Hg: 0.500 0.500 0.166
Hg: 0.500 0.500 0.500
Hg: 0.500 0.500 0.834

=====

# 2
DFT (PBE) results for an optimized crystal structure of AgHg3.

Properties
VASP energy (eV for the cell shown): -3.27
Space group: Pm-3m (221)
Density of states at the Fermi level (states/eV/f.u.): 2.01

abc: 4.484 4.484 4.484
angles: 90.00 90.00 90.00
Fractional positions:
Ag: 0.000 0.000 0.000
Hg: 0.000 0.500 0.500
Hg: 0.500 0.000 0.500
Hg: 0.500 0.500 0.000

=====

# 3
DFT (PBE) results for an optimized crystal structure of RbV2Tc.

Properties
VASP energy (eV for the cell shown): -23.40
Relative energy among the computed polymorphs (meV/atom): 83
Space group: Fm-3m (225)
Density of states at the Fermi level (states/eV/f.u.): 5.63

abc: 4.751 4.751 4.751
angles: 60.00 60.00 60.00
Fractional positions:
Rb: 0.000 0.000 0.000
V: 0.250 0.250 0.250
V: 0.750 0.750 0.750
Tc: 0.500 0.500 0.500

=====

# 4
DFT (PBE) results for an optimized crystal structure of Pr12Dy3Ag5.

Properties
VASP energy (eV for the cell shown): -304.45
Space group: Ia-3d (230)
Density of states at the Fermi level (states/eV/f.u.): 33.17

abc: 15.931 15.931 15.931
angles: 109.47 109.47 109.47
Fractional positions:
Pr: 0.045 0.216 0.120
Pr: 0.045 0.329 0.925
Pr: 0.075 0.620 0.404
Pr: 0.075 0.955 0.671
Pr: 0.096 0.716 0.671
Pr: 0.096 0.880 0.425
Pr: 0.120 0.045 0.216
Pr: 0.120 0.575 0.904
Pr: 0.171 0.216 0.596
Pr: 0.171 0.455 0.575
Pr: 0.216 0.120 0.045
Pr: 0.216 0.596 0.171
Pr: 0.284 0.329 0.904
Pr: 0.284 0.455 0.380
Pr: 0.329 0.904 0.284
Pr: 0.329 0.925 0.045
Pr: 0.380 0.284 0.455
Pr: 0.380 0.596 0.925
Pr: 0.404 0.075 0.620
Pr: 0.404 0.829 0.784
Pr: 0.425 0.096 0.880
Pr: 0.425 0.829 0.545
Pr: 0.455 0.380 0.284
Pr: 0.455 0.575 0.171
Pr: 0.545 0.425 0.829
Pr: 0.545 0.620 0.716
Pr: 0.575 0.171 0.455
Pr: 0.575 0.904 0.120
Pr: 0.596 0.171 0.216
Pr: 0.596 0.925 0.380
Pr: 0.620 0.404 0.075
Pr: 0.620 0.716 0.545
Pr: 0.671 0.075 0.955
Pr: 0.671 0.096 0.716
Pr: 0.716 0.545 0.620
Pr: 0.716 0.671 0.096
Pr: 0.784 0.404 0.829
Pr: 0.784 0.880 0.955
Pr: 0.829 0.545 0.425
Pr: 0.829 0.784 0.404
Pr: 0.880 0.425 0.096
Pr: 0.880 0.955 0.784
Pr: 0.904 0.120 0.575
Pr: 0.904 0.284 0.329
Pr: 0.925 0.045 0.329
Pr: 0.925 0.380 0.596
Pr: 0.955 0.671 0.075
Pr: 0.955 0.784 0.880
Dy: 0.125 0.250 0.375
Dy: 0.125 0.375 0.750
Dy: 0.250 0.375 0.125
Dy: 0.250 0.875 0.625
Dy: 0.375 0.125 0.250
Dy: 0.375 0.750 0.125
Dy: 0.625 0.250 0.875
Dy: 0.625 0.875 0.750
Dy: 0.750 0.125 0.375
Dy: 0.750 0.625 0.875
Dy: 0.875 0.625 0.250
Dy: 0.875 0.750 0.625
Ag: 0.000 0.000 0.000
Ag: 0.000 0.000 0.500
Ag: 0.000 0.500 0.000
Ag: 0.000 0.500 0.500
Ag: 0.125 0.750 0.875
Ag: 0.125 0.875 0.250
Ag: 0.250 0.125 0.875
Ag: 0.250 0.625 0.375
Ag: 0.375 0.250 0.625
Ag: 0.375 0.625 0.750
Ag: 0.500 0.000 0.000
Ag: 0.500 0.000 0.500
Ag: 0.500 0.500 0.000
Ag: 0.500 0.500 0.500
Ag: 0.625 0.375 0.250
Ag: 0.625 0.750 0.375
Ag: 0.750 0.375 0.625
Ag: 0.750 0.875 0.125
Ag: 0.875 0.125 0.750
Ag: 0.875 0.250 0.125